NaNiAgTe: optimized geometry, PBE.

```
4
Lattice="0.000 3.410 3.410 3.410 0.000 3.410 3.410 3.410 0.000" Properties=species:S:1:pos:R:3 pbc="T T T"
Na 0.000 0.000 0.000
Ni 1.705 1.705 1.705
Ag 3.410 3.410 3.410
Te 5.115 5.115 5.115
```

Properties
* E above lowest polymorph: 18.43 kJ per mole of atoms
* symmetry: No. 216
* calculated volume: 79.3 Å³/cell